1.
Entry from Alexandria via LeMat-Bulk: a relaxed NaFeIN2 crystal (GGA-PBE).

Cell: 3.7771 3.7771 5.7953 Å, 90.00 90.00 90.00°
Last column: nearest neighbours and their distance in Å.
Fractional positions:
I1 0.0000 0.0000 0.5000  4 Na 2.67, 2 Fe 2.90
Na1 0.5000 0.5000 0.5000  4 I 2.67
Fe1 0.0000 0.0000 0.0000  4 N 1.89
N1 0.0000 0.5000 0.0000  2 Fe 1.89
N2 0.5000 0.0000 0.0000  2 Fe 1.89

Results
Its total magnetic moment is 0.1562 μB per atom. The value obtained for the uncorrected formation energy is 0.645 eV per atom.


2.
Entry from Alexandria via LeMat-Bulk: a relaxed CaAcTbGd crystal (GGA-PBE).

Cell: 5.9456 5.9456 5.9456 Å, 60.00 60.00 60.00°
Last column: nearest neighbours and their distance in Å.
Fractional positions:
Ac1 0.5000 0.5000 0.5000  4 Ca 3.64, 4 Gd 3.64
Gd1 0.7500 0.7500 0.7500  4 Tb 3.64, 4 Ac 3.64
Tb1 0.0000 0.0000 0.0000  4 Gd 3.64, 4 Ca 3.64
Ca1 0.2500 0.2500 0.2500  4 Tb 3.64, 4 Ac 3.64

Results
Its total magnetic moment is 1.9833 μB per atom. For the formation energy, the calculation gives 0.12 eV/atom.


3.
Entry from Alexandria via LeMat-Bulk: a relaxed Li3TaPd6 crystal (GGA-PBE).

Cell: 4.1250 7.9439 9.0369 Å, 99.19 90.00 90.00°
Last column: nearest neighbours and their distance in Å.
Fractional positions:
Li1 0.2500 0.5505 0.3955  8 Pd 2.51-2.76
Li2 0.7500 0.4495 0.6045  8 Pd 2.51-2.76
Li3 0.2500 0.3481 0.8182  8 Pd 2.56-2.70
Li4 0.7500 0.6519 0.1818  8 Pd 2.56-2.70
Li5 0.2500 0.7472 0.9771  10 Pd 2.65-2.88, 2 Li 2.95
Li6 0.7500 0.2528 0.0229  10 Pd 2.65-2.88, 2 Li 2.95
Ta1 0.2500 0.9355 0.6209  10 Pd 2.61-2.89
Ta2 0.7500 0.0645 0.3791  10 Pd 2.61-2.89
Pd1 0.2500 0.4638 0.1044  7 Li 2.58-2.69, 1 Pd 2.76
Pd2 0.7500 0.5362 0.8956  7 Li 2.58-2.69, 1 Pd 2.76
Pd3 0.2500 0.1594 0.2143  2 Ta 2.72, 8 Pd 2.72-2.80, 2 Li 2.86
Pd4 0.7500 0.8406 0.7857  2 Ta 2.72, 8 Pd 2.72-2.80, 2 Li 2.86
Pd5 0.2500 0.6198 0.6837  5 Li 2.51-2.68, 1 Ta 2.66, 2 Pd 2.77
Pd6 0.7500 0.3802 0.3163  5 Li 2.51-2.68, 1 Ta 2.66, 2 Pd 2.77
Pd7 0.2500 0.2537 0.5178  4 Li 2.63-2.76, 3 Pd 2.72-2.84, 3 Ta 2.74-2.83
Pd8 0.7500 0.7463 0.4822  4 Li 2.63-2.76, 3 Pd 2.72-2.84, 3 Ta 2.74-2.83
Pd9 0.2500 0.8450 0.2984  4 Li 2.63-2.88, 3 Ta 2.72-2.89, 3 Pd 2.72-2.84
Pd10 0.7500 0.1550 0.7016  4 Li 2.63-2.88, 3 Ta 2.72-2.89, 3 Pd 2.72-2.84
Pd11 0.2500 0.0585 0.9071  4 Li 2.56-2.69, 1 Ta 2.61, 3 Pd 2.76-2.80
Pd12 0.7500 0.9415 0.0929  4 Li 2.56-2.69, 1 Ta 2.61, 3 Pd 2.76-2.80

Results
Its total magnetic moment is 0.0000 μB per atom. For the formation energy, the calculation gives -0.42 eV/atom.


4.
Entry from Alexandria via LeMat-Bulk: a relaxed Mn2AsPtC crystal (GGA-PBE).

Cell: 4.6969 4.5927 4.6969 Å, 90.00 90.00 90.00°
Last column: nearest neighbours and their distance in Å.
Fractional positions:
As1 0.0000 0.0000 0.0000  2 Pt 2.30, 4 Mn 2.35
Mn1 0.0000 0.0000 0.5000  2 As 2.35
Mn2 0.5000 0.0000 0.0000  2 As 2.35
C1 0.5000 0.5000 0.5000  8 Mn 3.28, 4 Pt 3.32
Pt1 0.0000 0.5000 0.0000  2 As 2.30

Results
Its total magnetic moment is 1.3643 μB per atom. For the formation energy, the calculation gives 1.65 eV/atom.


5.
Entry from Alexandria via LeMat-Bulk: a relaxed NiAs crystal (GGA-PBE).

Cell: 2.7773 3.9457 5.9366 Å, 90.00 90.00 90.00°
Last column: nearest neighbours and their distance in Å.
Fractional positions:
As1 0.0000 0.0000 0.9030  6 Ni 2.50-2.56, 2 As 2.78
As2 0.0000 0.5000 0.4304  6 Ni 2.50-2.56, 2 As 2.78
Ni1 0.5000 0.0000 0.5410  2 Ni 2.47, 6 As 2.50-2.56
Ni2 0.5000 0.5000 0.7923  2 Ni 2.47, 6 As 2.50-2.56

Results
Its total magnetic moment is 0.0000 μB per atom. For the formation energy, the calculation gives -0.05 eV/atom.


6.
Entry from Alexandria via LeMat-Bulk: a relaxed NdInNi4H6 crystal (GGA-PBE).

Cell: 4.3929 4.3929 6.7961 Å, 90.00 90.00 120.00°
Last column: nearest neighbours and their distance in Å.
Fractional positions:
Nd1 0.0000 0.0000 0.5000  12 H 2.47
In1 0.0000 0.0000 0.0000  12 Ni 2.83, 12 H 3.15
Ni1 0.6667 0.3333 0.1852  3 H 1.62
Ni2 0.3333 0.6667 0.1852  3 H 1.62
Ni3 0.3333 0.6667 0.8148  3 H 1.62
Ni4 0.6667 0.3333 0.8148  3 H 1.62
H1 0.5000 0.5000 0.3330  2 Ni 1.62
H2 0.5000 0.5000 0.6670  2 Ni 1.62
H3 0.5000 0.0000 0.3330  2 Ni 1.62
H4 0.0000 0.5000 0.3330  2 Ni 1.62
H5 0.5000 0.0000 0.6670  2 Ni 1.62
H6 0.0000 0.5000 0.6670  2 Ni 1.62

Results
Its total magnetic moment is 0.0000 μB per atom. The value obtained for the total energy is -54.421 eV per cell.


7.
Entry from Alexandria via LeMat-Bulk: a relaxed Nd8IrRh3Cl4 crystal (GGA-PBE).

Cell: 8.1975 8.9339 8.2007 Å, 117.28 119.99 90.00°
Last column: nearest neighbours and their distance in Å.
Fractional positions:
Nd1 0.2341 0.7043 0.9697  1 Ir 2.82, 2 Rh 2.83
Nd2 0.2342 0.7043 0.4685  1 Ir 2.82, 2 Rh 2.83
Nd3 0.2654 0.2958 0.5308  3 Rh 2.83
Nd4 0.7355 0.7043 0.9697  1 Ir 2.82, 2 Rh 2.83
Nd5 0.2645 0.2957 0.0303  1 Ir 2.82, 2 Rh 2.83
Nd6 0.7346 0.7042 0.4692  3 Rh 2.83
Nd7 0.7658 0.2957 0.5315  1 Ir 2.82, 2 Rh 2.83
Nd8 0.7659 0.2957 0.0303  1 Ir 2.82, 2 Rh 2.83
Ir1 0.0000 0.5000 0.0000  6 Nd 2.82
Rh1 0.5000 0.5000 0.0000  6 Nd 2.83
Rh2 0.5000 0.5000 0.5000  6 Nd 2.83
Rh3 0.0000 0.5000 0.5000  6 Nd 2.83
Cl1 0.5000 0.0000 0.0000  6 Nd 3.26-3.27
Cl2 0.5000 0.0000 0.5000  6 Nd 3.26
Cl3 0.0000 0.0000 0.0000  6 Nd 3.26
Cl4 0.0000 0.0000 0.5000  6 Nd 3.26

Results
Its total magnetic moment is 0.0000 μB per atom. The value obtained for the uncorrected formation energy is -1.178 eV per atom.


8.
Entry from Alexandria via LeMat-Bulk: a relaxed TiCoCuAu2 crystal (GGA-PBE).

Cell: 4.9644 4.1117 4.9644 Å, 90.00 90.00 90.00°
Last column: nearest neighbours and their distance in Å.
Fractional positions:
Co1 0.0000 0.5000 0.0000  2 Ti 2.06
Au1 0.0000 0.0000 0.5000  2 Ti 2.48
Au2 0.5000 0.0000 0.0000  2 Ti 2.48
Cu1 0.5000 0.5000 0.5000  8 Au 3.22, 4 Co 3.51
Ti1 0.0000 0.0000 0.0000  2 Co 2.06

Results
Its total magnetic moment is 0.0000 μB per atom. For the formation energy, the calculation gives 0.97 eV/atom.


9.
Entry from Alexandria via LeMat-Bulk: a relaxed TaCBr crystal (GGA-PBE).

Cell: 3.4906 4.2338 9.3319 Å, 90.00 90.00 90.00°
Last column: nearest neighbours and their distance in Å.
Fractional positions:
Ta1 0.5000 0.0000 0.5779  4 C 2.10-2.14
Ta2 0.0000 0.5000 0.4221  4 C 2.10-2.14
C1 0.0000 0.0000 0.4518  4 Ta 2.10-2.14
C2 0.5000 0.5000 0.5482  4 Ta 2.10-2.14
Br1 0.5000 0.5000 0.1985  2 Ta 2.72
Br2 0.0000 0.0000 0.8015  2 Ta 2.72

Results
Its total magnetic moment is 0.0000 μB per atom. The value obtained for the uncorrected formation energy is -0.428 eV per atom.


10.
Entry from Alexandria via LeMat-Bulk: a relaxed ZrCoAg2 crystal (GGA-PBE).

Cell: 4.7060 2.8503 5.2474 Å, 76.01 90.00 90.00°
Last column: nearest neighbours and their distance in Å.
Fractional positions:
Ag1 0.0000 0.0887 0.0169  5 Ag 2.73-2.85, 2 Co 2.74, 2 Zr 3.01
Ag2 0.0000 0.4113 0.4831  5 Ag 2.73-2.85, 2 Co 2.74, 2 Zr 3.01
Co1 0.5000 0.2500 0.2500  2 Zr 2.67, 4 Ag 2.74, 2 Co 2.85
Zr1 0.5000 0.7500 0.7500  2 Co 2.67, 2 Zr 2.85

Results
Its total magnetic moment is 0.2324 μB per atom. For the formation energy, the calculation gives 0.18 eV/atom. Its offset from the most stable computed form is 0.1626 eV per atom.


11.
Entry from Alexandria via LeMat-Bulk: a relaxed EuGd2Dy crystal (GGA-PBE).

Cell: 3.5540 3.5540 12.7174 Å, 81.97 81.97 60.00°
Last column: nearest neighbours and their distance in Å.
Fractional positions:
Eu1 0.0000 0.0000 0.0000  2 Gd 3.43, 6 Eu 3.55
Gd1 0.0912 0.0912 0.7265  1 Eu 3.43, 3 Dy 3.51, 6 Gd 3.55
Gd2 0.9088 0.9088 0.2735  1 Eu 3.43, 3 Dy 3.51, 6 Gd 3.55
Dy1 0.5000 0.5000 0.5000  6 Gd 3.51, 6 Dy 3.55

Results
Its total magnetic moment is 5.6423 μB per atom. For the formation energy, the calculation gives 0.14 eV/atom. Its offset from the most stable computed form is 0.1000 eV per atom.


12.
Entry from Alexandria via LeMat-Bulk: a relaxed K3Ga5Pt3 crystal (GGA-PBE).

Cell: 6.3011 7.7330 7.7330 Å, 120.00 90.00 90.00°
Last column: nearest neighbours and their distance in Å.
Fractional positions:
K1 0.0000 0.6668 0.0000  2 Pt 3.15
K2 0.0000 0.0000 0.6668  2 Pt 3.15
K3 0.0000 0.3332 0.3332  2 Pt 3.15
Ga1 0.5000 0.6667 0.3333  3 Pt 2.50, 3 Ga 2.79
Ga2 0.5000 0.3333 0.6667  3 Pt 2.50, 3 Ga 2.79
Ga3 0.5000 0.2839 0.0000  3 Pt 2.51-2.80, 2 Ga 2.79
Ga4 0.5000 0.7161 0.7161  3 Pt 2.51-2.80, 2 Ga 2.79
Ga5 0.5000 0.0000 0.2839  3 Pt 2.51-2.80, 2 Ga 2.79
Pt1 0.5000 0.6464 0.0000  5 Ga 2.50-2.80
Pt2 0.5000 0.3536 0.3536  5 Ga 2.50-2.80
Pt3 0.5000 0.0000 0.6464  5 Ga 2.50-2.80

Results
Its total magnetic moment is 0.0000 μB per atom. For the formation energy, the calculation gives -0.40 eV/atom.